A relaxed structure of CaBeI2, computed with PBE-GGA.

Computed properties:
formation energy (no corrections): -0.0949 eV per atom
Fermi-level density of states: 0.3399 states/eV per atom

abc: 5.773 5.773 18.604
angles: 90.00 90.00 90.00
Element x y z (fractional)
Ca: 0.000 0.000 0.000
Ca: 0.000 0.500 0.250
Ca: 0.500 0.000 0.750
Ca: 0.500 0.500 0.500
Be: 0.000 0.000 0.500
Be: 0.000 0.500 0.750
Be: 0.500 0.000 0.250
Be: 0.500 0.500 0.000
I: 0.245 0.250 0.625
I: 0.250 0.745 0.875
I: 0.250 0.755 0.375
I: 0.255 0.250 0.125
I: 0.745 0.750 0.125
I: 0.750 0.245 0.375
I: 0.750 0.255 0.875
I: 0.755 0.750 0.625